[1]
# EuUTe2

EuUTe2 after structural relaxation (PBE-GGA, Alexandria).

abc: 4.3719 4.3719 22.9407
angles: 90.00 90.00 120.00
Space group R-3m (No. 166, hexagonal axes)
Unique sites:
Eu1 0.0000 0.0000 0.0000 [3 per cell]
U1 0.0000 0.0000 0.5000 [3 per cell]
Te1 0.0000 0.0000 0.2475 [6 per cell]

Results
M_tot (μB per atom): 0.965
Theoretical density (g/cm3): 8.46
Uncorrected energy (eV/atom): -7.964
Formation energy (no corrections) (eV per atom): -1.003

=====

[2]
# RbSr2HPb

RbSr2HPb after structural relaxation (PBE-GGA, Alexandria).

abc: 5.5200 5.5200 5.2560
angles: 90.00 90.00 90.00
Space group P4/mmm (No. 123)
Unique sites:
Rb1 0.0000 0.0000 0.0000 [1 per cell]
Sr1 0.0000 0.5000 0.5000 [2 per cell]
H1 0.0000 0.0000 0.5000 [1 per cell]
Pb1 0.5000 0.5000 0.0000 [1 per cell]

Results
M_tot (μB per atom): 0.000
Theoretical density (g/cm3): 4.86
Uncorrected energy (eV/atom): -2.545

=====

Question: Look up the uncorrected energy of the first one.
Answer: -7.964 eV/atom